Record 1
Computed, not measured: a geometry-optimized TlAgSnSe2 structure at the GGA-PBE level of DFT.

Structure (POSCAR):
```
TlAgSnSe2
1.0
5.453 0.000 0.000
0.000 7.528 -0.463
0.000 -2.655 7.625
Tl Ag Sn Se
2 2 2 4
direct
0.208 0.500 0.750
0.792 0.500 0.250
0.000 0.000 0.000
0.000 0.000 0.500
0.403 0.000 0.250
0.597 0.000 0.750
0.694 0.744 0.993
0.694 0.256 0.507
0.306 0.744 0.493
0.306 0.256 0.007
```

- Uncorrected formation energy: -0.26 eV per atom
- Crystal system: monoclinic
- Fermi-level density of states: 0.0637 states/eV per atom
- Energy: -3.502 eV per atom
- SG: P2/c, No. 13
- Calculated volume: 306 Å³/cell

=====

Record 2
Computed, not measured: a geometry-optimized LiYRu2 structure at the GGA-PBE level of DFT.

Structure (POSCAR):
```
LiYRu2
1.0
-0.861 2.754 0.246
-1.138 -1.712 2.041
6.769 1.654 5.161
Li Ru Y
1 2 1
direct
0.500 0.500 0.750
0.000 0.000 0.991
0.000 0.000 0.509
0.500 0.500 0.250
```

- Crystal system: orthorhombic
- Energy relative to the elements: 1.4 eV per formula unit
- Fermi-level density of states: 0.9827 states/eV per atom
- Energy: -6.389 eV per atom
- SG: Cmmm, No. 65
- Calculated volume: 67 Å³/cell
- Energy above the most stable polymorph in this dataset: 259 meV per atom

=====

Record 3
Computed, not measured: a geometry-optimized TePb2Se structure at the GGA-PBE level of DFT.

Structure (POSCAR):
```
TePb2Se
1.0
-3.866 1.085 3.674
-2.996 -4.043 2.072
0.675 -1.506 5.186
Pb Se Te
2 1 1
direct
0.000 0.000 0.000
0.250 0.250 0.250
0.500 0.500 0.500
0.750 0.750 0.750
```

- Uncorrected formation energy: 0.08 eV per atom
- Crystal system: cubic
- Fermi-level density of states: 0.9616 states/eV per atom
- Energy: -3.429 eV per atom
- SG: F-43m, No. 216
- Calculated volume: 114 Å³/cell
- Energy above the most stable polymorph in this dataset: 563 meV per atom

=====

no.,magnetization (μB per formula unit)
1,0.000
2,0.001
3,0.000